Sm3I3N | Alexandria via LeMat-Bulk | PBE | relaxed; Fermi-level density of states = 2.0 states/eV/f.u.; crystal system = monoclinic; uncorrected formation energy = -1266 meV per atom; SG = P2_1/m (11)
1.0
3.932 0.000 0.000
0.000 8.771 -0.403
0.000 0.101 12.203
Sm I N
6 6 2
Direct
0.250 0.295 0.614
0.750 0.705 0.386
0.250 0.918 0.594
0.750 0.082 0.406
0.250 0.887 0.196
0.750 0.113 0.804
0.250 0.385 0.368
0.750 0.615 0.632
0.250 0.856 0.868
0.750 0.144 0.132
0.250 0.376 0.868
0.750 0.624 0.132
0.250 0.889 0.392
0.750 0.111 0.608



AcNiSn | Alexandria via LeMat-Bulk | PBE | relaxed; calculated formation energy = -1.3 eV/f.u.; Fermi-level density of states = 6.4 states/eV/f.u.; crystal system = cubic; energy relative to the lowest polymorph listed for this composition = 0.143 eV per atom; SG = F-43m (216)
1.0
4.849 0.000 0.000
2.425 4.200 0.000
2.425 1.400 3.959
Ni Ac Sn
1 1 1
Direct
0.250 0.250 0.250
0.000 0.000 0.000
0.500 0.500 0.500



P3WS | Alexandria via LeMat-Bulk | PBE | relaxed; Fermi-level density of states = 2.4 states/eV/f.u.; crystal system = cubic; energy relative to the lowest polymorph listed for this composition = 0.547 eV per atom; uncorrected formation energy = 1257 meV per atom; SG = Pm-3m (221)
1.0
4.319 0.000 0.000
0.000 4.319 0.000
0.000 0.000 4.319
P S W
3 1 1
Direct
0.000 0.500 0.000
0.000 0.000 0.500
0.500 0.000 0.000
0.000 0.000 0.000
0.500 0.500 0.500



LaTl2Ge | Alexandria via LeMat-Bulk | PBE | relaxed; calculated formation energy = -0.5 eV/f.u.; Fermi-level density of states = 3.0 states/eV/f.u.; crystal system = cubic; energy relative to the lowest polymorph listed for this composition = 0.230 eV per atom; SG = Fm-3m (225)
1.0
0.000 3.821 3.821
3.821 0.000 3.821
3.821 3.821 0.000
Tl Ge La
2 1 1
Direct
0.250 0.250 0.250
0.750 0.750 0.750
0.000 0.000 0.000
0.500 0.500 0.500



Look up the Fermi-level density of states of the second one.
6.4 states/eV/f.u.



What did the first record say?
Sm3I3N | Alexandria via LeMat-Bulk | PBE | relaxed; Fermi-level density of states = 2.0 states/eV/f.u.; crystal system = monoclinic; uncorrected formation energy = -1266 meV per atom; SG = P2_1/m (11)
1.0
3.932 0.000 0.000
0.000 8.771 -0.403
0.000 0.101 12.203
Sm I N
6 6 2
Direct
0.250 0.295 0.614
0.750 0.705 0.386
0.250 0.918 0.594
0.750 0.082 0.406
0.250 0.887 0.196
0.750 0.113 0.804
0.250 0.385 0.368
0.750 0.615 0.632
0.250 0.856 0.868
0.750 0.144 0.132
0.250 0.376 0.868
0.750 0.624 0.132
0.250 0.889 0.392
0.750 0.111 0.608



Repeat the third record exactly.
P3WS | Alexandria via LeMat-Bulk | PBE | relaxed; Fermi-level density of states = 2.4 states/eV/f.u.; crystal system = cubic; energy relative to the lowest polymorph listed for this composition = 0.547 eV per atom; uncorrected formation energy = 1257 meV per atom; SG = Pm-3m (221)
1.0
4.319 0.000 0.000
0.000 4.319 0.000
0.000 0.000 4.319
P S W
3 1 1
Direct
0.000 0.500 0.000
0.000 0.000 0.500
0.500 0.000 0.000
0.000 0.000 0.000
0.500 0.500 0.500